A plane-wave DFT calculation with GGA-PBE was carried out for crystalline NaRe at its relaxed geometry.

It has space group Fm-3m (No. 225), with a = 5.896 Å, b = 5.896 Å, c = 5.896 Å, α = 90.00°, β = 90.00° and γ = 90.00°. Symmetry generates all atoms from Na at (0.000, 0.000, 0.000) and Re at (0.000, 0.000, 0.500).

The calculated total energy is -3.84 eV/atom.